Entry 1:
# PBE-GGA Sm12Pd3N5, relaxed
data_Sm12Pd3N5
_space_group_name_H-M_alt 'I a -3 d'
_space_group_IT_number 230
_space_group_name_Hall '-I 4bd 2c 3'
_cell_length_a 15.680
_cell_length_b 15.680
_cell_length_c 15.680
_cell_angle_alpha 90.00
_cell_angle_beta 90.00
_cell_angle_gamma 90.00
loop_
_atom_site_label
_atom_site_type_symbol
_atom_site_fract_x
_atom_site_fract_y
_atom_site_fract_z
Sm1 Sm 0.033 0.053 0.650
Pd1 Pd 0.000 0.250 0.125
N1 N 0.000 0.000 0.000
N2 N 0.000 0.250 0.375
# ρ	7.56	g cm⁻³
# Fermi-level density of states	19.441	states/eV/f.u.

=====

Entry 2:
# PBE-GGA Sm3PdN, relaxed
data_Sm3PdN
_space_group_name_H-M_alt 'P 1 2/m 1'
_space_group_IT_number 10
_cell_length_a 7.819
_cell_length_b 3.645
_cell_length_c 8.491
_cell_angle_alpha 90.00
_cell_angle_beta 108.75
_cell_angle_gamma 90.00
loop_
_space_group_symop_operation_xyz
'x,y,z'
'-x,-y,-z'
'-x,y,-z'
'x,-y,z'
loop_
_atom_site_label
_atom_site_type_symbol
_atom_site_fract_x
_atom_site_fract_y
_atom_site_fract_z
Sm1 Sm 0.082 0.000 0.339
Sm2 Sm 0.305 0.000 0.042
Sm3 Sm 0.328 0.500 0.694
Pd1 Pd 0.000 0.500 0.000
Pd2 Pd 0.500 0.000 0.500
N1 N 0.000 0.500 0.500
N2 N 0.500 0.500 0.000
# ρ	8.28	g cm⁻³
# Fermi-level density of states	3.079	states/eV/f.u.
# polymorph energy (0 for the lowest one)	0.0000	eV per atom

=====

Entry 3:
# PBE-GGA Sm3PdN, relaxed
data_Sm3PdN
_space_group_name_H-M_alt 'P m -3 m'
_space_group_IT_number 221
_space_group_name_Hall '-P 4 2 3'
_cell_length_a 4.875
_cell_length_b 4.875
_cell_length_c 4.875
_cell_angle_alpha 90.00
_cell_angle_beta 90.00
_cell_angle_gamma 90.00
loop_
_atom_site_label
_atom_site_type_symbol
_atom_site_fract_x
_atom_site_fract_y
_atom_site_fract_z
Sm1 Sm 0.000 0.000 0.500
Pd1 Pd 0.500 0.500 0.500
N1 N 0.000 0.000 0.000
# ρ	8.19	g cm⁻³
# Fermi-level density of states	6.221	states/eV/f.u.
# polymorph energy (0 for the lowest one)	0.0679	eV per atom

=====

Values for total magnetic moment, μB/atom, ordered as above
0.000 0.000 0.000
Values for raw formation energy, eV per atom, ordered as above
-0.834 -0.822 -0.754